A plane-wave DFT calculation with PBE was carried out for LaTh2SiN5 after structural relaxation.

Calculated values
* SG: No. 127
* ΔE_f (raw): -1267.6 meV per atom
* Fermi-level density of states: 0.244 states/eV/cell

Cell lengths 5.793, 6.740, 6.740 Å; angles 90.00, 90.00, 90.00 degrees
Positions (direct):
Th 0.500 0.821 0.679
N 0.780 0.864 0.364
La 0.000 0.500 0.500
Th 0.500 0.679 0.179
N 0.780 0.636 0.864
La 0.000 0.000 0.000
N 0.220 0.636 0.864
N 0.220 0.136 0.636
N 0.500 0.000 0.000
N 0.220 0.864 0.364
N 0.220 0.364 0.136
Si 0.000 0.000 0.500
N 0.780 0.136 0.636
Th 0.500 0.179 0.321
N 0.500 0.500 0.500
Si 0.000 0.500 0.000
Th 0.500 0.321 0.821
N 0.780 0.364 0.136

A plane-wave DFT calculation with PBE was carried out for AcLaB2O6 after structural relaxation.

Calculated values
* SG: No. 15
* ΔE_f (raw): -3089.5 meV per atom
* Fermi-level density of states: 0.000 states/eV/cell

Cell lengths 6.605, 6.605, 6.838 Å; angles 103.19, 103.19, 98.37 degrees
Positions (direct):
O 0.484 0.721 0.128
B 0.645 0.870 0.283
B 0.355 0.130 0.717
O 0.721 0.484 0.628
B 0.130 0.355 0.217
Ac 0.847 0.153 0.750
O 0.926 0.384 0.145
O 0.279 0.516 0.372
O 0.616 0.074 0.355
O 0.179 0.196 0.618
O 0.384 0.926 0.645
O 0.074 0.616 0.855
O 0.821 0.804 0.382
O 0.516 0.279 0.872
La 0.600 0.400 0.250
O 0.804 0.821 0.882
Ac 0.153 0.847 0.250
La 0.400 0.600 0.750
O 0.196 0.179 0.118
B 0.870 0.645 0.783

A plane-wave DFT calculation with PBE was carried out for TmCd2Pb3 after structural relaxation.

Calculated values
* offset from the most stable computed form: 0.0000 eV per atom
* SG: No. 26
* formation enthalpy at 0 K: -0.7 eV per formula unit
* Fermi-level density of states: 6.325 states/eV/cell

Cell lengths 4.500, 6.926, 10.510 Å; angles 90.00, 90.00, 90.00 degrees
Positions (direct):
Pb 0.500 0.654 0.325
Cd 0.000 0.419 0.825
Pb 0.500 0.154 0.675
Cd 0.000 0.919 0.175
Tm 0.000 0.907 0.852
Cd 0.500 0.654 0.679
Pb 0.000 0.406 0.496
Pb 0.000 0.906 0.504
Pb 0.500 0.161 0.001
Tm 0.000 0.407 0.148
Cd 0.500 0.154 0.321
Pb 0.500 0.661 0.999

A plane-wave DFT calculation with PBE was carried out for Eu2InBi after structural relaxation.

Calculated values
* offset from the most stable computed form: 0.2201 eV per atom
* SG: No. 166
* formation enthalpy at 0 K: -1.7 eV per formula unit
* Fermi-level density of states: 14.436 states/eV/cell

Cell lengths 4.001, 4.001, 10.187 Å; angles 78.67, 78.67, 60.00 degrees
Positions (direct):
Eu 0.248 0.248 0.255
Eu 0.752 0.752 0.745
In 0.000 0.000 0.000
Bi 0.500 0.500 0.500

A plane-wave DFT calculation with PBE was carried out for CrFe2SeI after structural relaxation.

Calculated values
* SG: No. 123
* ΔE_f (raw): 897.0 meV per atom
* Fermi-level density of states: 3.712 states/eV/cell

Cell lengths 4.408, 7.779, 4.408 Å; angles 90.00, 90.00, 90.00 degrees
Positions (direct):
Fe 0.000 0.000 0.500
I 0.000 0.500 0.000
Fe 0.500 0.000 0.000
Cr 0.500 0.500 0.500
Se 0.000 0.000 0.000

A plane-wave DFT calculation with PBE was carried out for SrTmIr after structural relaxation.

Calculated values
* SG: No. 129
* formation enthalpy at 0 K: -1.8 eV per formula unit
* Fermi-level density of states: 1.837 states/eV/cell

Cell lengths 4.666, 4.666, 7.706 Å; angles 90.00, 90.00, 90.00 degrees
Positions (direct):
Tm 0.000 0.000 0.500
Ir 0.500 0.000 0.706
Sr 0.500 0.000 0.134
Sr 0.000 0.500 0.866
Ir 0.000 0.500 0.294
Tm 0.500 0.500 0.500

A plane-wave DFT calculation with PBE was carried out for Tm2GaRh2 after structural relaxation.

Calculated values
* SG: No. 15
* formation enthalpy at 0 K: -4.6 eV per formula unit
* Fermi-level density of states: 5.749 states/eV/cell

Cell lengths 5.701, 5.701, 7.553 Å; angles 76.27, 76.27, 56.14 degrees
Positions (direct):
Rh 0.729 0.008 0.507
Rh 0.008 0.729 0.007
Tm 0.498 0.796 0.850
Tm 0.204 0.502 0.650
Ga 0.847 0.153 0.750
Ga 0.153 0.847 0.250
Rh 0.992 0.271 0.993
Tm 0.796 0.498 0.350
Rh 0.271 0.992 0.493
Tm 0.502 0.204 0.150

A plane-wave DFT calculation with PBE was carried out for LaMoN3 after structural relaxation.

Calculated values
* SG: No. 1
* ΔE_f (raw): -742.9 meV per atom
* Fermi-level density of states: 0.000 states/eV/cell

Cell lengths 3.721, 6.857, 6.430 Å; angles 109.92, 92.29, 76.72 degrees
Positions (direct):
La 0.214 0.230 0.463
N 0.374 0.909 0.581
Mo 0.733 0.271 0.001
N 0.264 0.171 0.035
La 0.490 0.750 0.908
N 0.014 0.639 0.658
N 0.830 0.959 0.272
N 0.682 0.334 0.753
N 0.655 0.537 0.216
Mo 0.812 0.775 0.442

A plane-wave DFT calculation with PBE was carried out for SrTaF7 after structural relaxation.

Calculated values
* SG: No. 11
* ΔE_f (raw): -3529.2 meV per atom
* Fermi-level density of states: 0.000 states/eV/cell

Cell lengths 7.322, 4.970, 6.825 Å; angles 85.46, 90.00, 90.00 degrees
Positions (direct):
F 0.527 0.323 0.781
F 0.250 0.584 0.496
F 0.750 0.416 0.504
F 0.473 0.677 0.219
F 0.750 0.340 0.047
F 0.027 0.677 0.219
F 0.423 0.195 0.359
F 0.973 0.323 0.781
Ta 0.750 0.531 0.780
F 0.250 0.180 0.044
Sr 0.250 0.029 0.684
Sr 0.750 0.971 0.316
F 0.250 0.660 0.953
F 0.750 0.820 0.956
F 0.077 0.195 0.359
F 0.577 0.805 0.641
F 0.923 0.805 0.641
Ta 0.250 0.469 0.220

A plane-wave DFT calculation with PBE was carried out for Ac2PmZn4 after structural relaxation.

Calculated values
* SG: No. 139
* formation enthalpy at 0 K: -0.9 eV per formula unit
* Fermi-level density of states: 5.000 states/eV/cell

Cell lengths 5.478, 5.478, 7.720 Å; angles 110.78, 110.78, 90.00 degrees
Positions (direct):
Zn 0.100 0.600 0.199
Zn 0.600 0.100 0.199
Zn 0.900 0.400 0.801
Zn 0.400 0.900 0.801
Ac 0.284 0.284 0.568
Ac 0.716 0.716 0.432
Pm 0.000 0.000 0.000

A plane-wave DFT calculation with PBE was carried out for FeIrPb2 after structural relaxation.

Calculated values
* offset from the most stable computed form: 0.4220 eV per atom
* SG: No. 166
* formation enthalpy at 0 K: 2.6 eV per formula unit
* Fermi-level density of states: 4.390 states/eV/cell

Cell lengths 8.874, 8.874, 8.874 Å; angles 21.26, 21.26, 21.26 degrees
Positions (direct):
Pb 0.000 0.000 0.000
Pb 0.500 0.500 0.500
Fe 0.250 0.250 0.250
Ir 0.750 0.750 0.750

A plane-wave DFT calculation with PBE was carried out for La2Sb4Ir3Pt after structural relaxation.

Calculated values
* SG: No. 115
* ΔE_f (raw): -723.6 meV per atom
* Fermi-level density of states: 6.997 states/eV/cell

Cell lengths 4.657, 4.657, 10.372 Å; angles 90.00, 90.00, 90.00 degrees
Positions (direct):
Sb 0.000 0.500 0.369
La 0.000 0.500 0.745
Sb 0.500 0.500 0.000
Ir 0.500 0.000 0.881
Sb 0.500 0.000 0.631
Ir 0.000 0.500 0.119
Ir 0.000 0.000 0.500
Sb 0.000 0.000 0.000
Pt 0.500 0.500 0.500
La 0.500 0.000 0.255